A plane-wave DFT calculation with GGA-PBE was carried out for a geometry-optimized NdEr6Pu structure.

Geometry as CIF:
```
data_NdEr6Pu
_chemical_formula_sum 'Nd2 Er12 Pu2'
_cell_length_a 5.640
_cell_length_b 7.117
_cell_length_c 12.301
_cell_angle_alpha 90.00
_cell_angle_beta 90.00
_cell_angle_gamma 90.00
_symmetry_space_group_name_H-M 'A m m 2'
_symmetry_Int_Tables_number 38
loop_
_symmetry_equiv_pos_as_xyz
'x,y,z'
'-x,-y,z'
'-x,y,z'
'x,-y,z'
'x,y+1/2,z+1/2'
'-x,-y+1/2,z+1/2'
'-x,y+1/2,z+1/2'
'x,-y+1/2,z+1/2'
loop_
_atom_site_label
_atom_site_fract_x
_atom_site_fract_y
_atom_site_fract_z
Nd1 0.000 0.000 0.000
Er1 0.000 0.249 0.252
Er2 0.500 0.000 0.168
Er3 0.500 0.000 0.666
Er4 0.500 0.245 0.419
Pu1 0.000 0.000 0.501
```


# LiCaAg2, optimized geometry, DFT GGA-PBE
data_LiCaAg2
_chemical_formula_sum 'Li4 Ca4 Ag8'
_cell_length_a 6.948
_cell_length_b 6.948
_cell_length_c 6.948
_cell_angle_alpha 90.00
_cell_angle_beta 90.00
_cell_angle_gamma 90.00
_symmetry_space_group_name_H-M 'F -4 3 m'
_symmetry_Int_Tables_number 216
_symmetry_space_group_name_Hall 'F -4 2 3'
loop_
_atom_site_label
_atom_site_fract_x
_atom_site_fract_y
_atom_site_fract_z
Li1 0.000 0.000 0.000
Ca1 0.250 0.250 0.250
Ag1 0.000 0.000 0.500
Ag2 0.250 0.250 0.750
# Relative energy among the computed polymorphs, meV per atom: 55


A plane-wave DFT calculation with GGA-PBE was carried out for a geometry-optimized PuGa3PdAu structure.

Geometry as CIF:
```
data_PuGa3PdAu
_chemical_formula_sum 'Pu4 Ga12 Pd4 Au4'
_cell_length_a 5.708
_cell_length_b 13.989
_cell_length_c 5.826
_cell_angle_alpha 90.00
_cell_angle_beta 90.00
_cell_angle_gamma 90.00
_symmetry_space_group_name_H-M 'C m c m'
_symmetry_Int_Tables_number 63
_symmetry_space_group_name_Hall '-C 2c 2'
loop_
_atom_site_label
_atom_site_fract_x
_atom_site_fract_y
_atom_site_fract_z
Pu1 0.000 0.195 0.250
Ga1 0.000 0.372 0.750
Ga2 0.221 0.000 0.000
Pd1 0.000 0.397 0.250
Au1 0.000 0.176 0.750
```


A plane-wave DFT calculation with GGA-PBE was carried out for a geometry-optimized In2Ga13 structure.

Geometry as CIF:
```
data_In2Ga13
_chemical_formula_sum 'In6 Ga39'
_cell_length_a 7.5604
_cell_length_b 7.5604
_cell_length_c 21.7940
_cell_angle_alpha 90.00
_cell_angle_beta 90.00
_cell_angle_gamma 120.00
_symmetry_space_group_name_H-M 'R -3 m'
_symmetry_Int_Tables_number 166
_symmetry_space_group_name_Hall '-R 3 2"'
loop_
_atom_site_label
_atom_site_fract_x
_atom_site_fract_y
_atom_site_fract_z
In1 0.0000 0.0000 0.2398
Ga1 0.0000 0.0000 0.0000
Ga2 0.0807 0.5403 0.3018
Ga3 0.0892 0.5446 0.5586
```


no.,mass density (g cm⁻³),total magnetization (μB/f.u.),energy relative to the elements (eV/atom)
1,9.4,6.841,0.06
2,5.2,0.000,-0.19
3,10.8,5.597,-0.31
4,5.2,0.000,0.12